Entry 1:
## Cr2SbCl (PBE-GGA)

Data for an optimized crystal structure of Cr2SbCl.

Calculated values
Space-group type ... P4mm
Crystal system ... tetragonal
Calculated volume ... 21.45 A^3/atom
Raw formation energy ... -0.037 eV per atom

a b c (Å): 3.3620 3.3621 7.5921
angles (deg): 90.00 90.00 90.00
Atoms (fractional coordinates):
Cr 0.5000 0.5000 0.1963
Cr 0.0000 0.0000 0.0341
Cl 0.5000 0.5000 0.8660
Sb 0.0000 0.0000 0.4036

Entry 2:
## MgZn2Co (PBE-GGA)

Data for an optimized crystal structure of MgZn2Co.

Calculated values
Space-group type ... I-42d
Crystal system ... tetragonal
Calculated volume ... 16.09 A^3/atom
Formation energy ... 1.2 eV per formula unit

a b c (Å): 3.7593 3.7593 9.4869
angles (deg): 78.57 78.57 90.00
Atoms (fractional coordinates):
Mg 0.5000 0.5000 0.0000
Mg 0.2500 0.7500 0.5000
Co 0.0000 0.0000 0.0000
Co 0.7500 0.2500 0.5000
Zn 0.3750 0.3409 0.7500
Zn 0.8750 0.9091 0.7500
Zn 0.0909 0.6250 0.2500
Zn 0.6591 0.1250 0.2500

Entry 3:
## BaRhW2 (PBE-GGA)

Data for an optimized crystal structure of BaRhW2.

Calculated values
Space-group type ... P4/mmm
Crystal system ... tetragonal
Calculated volume ... 20.06 A^3/atom
Formation energy ... 3.7 eV per formula unit

a b c (Å): 2.8790 2.8790 9.6818
angles (deg): 90.00 90.00 90.00
Atoms (fractional coordinates):
W 0.0000 0.0000 0.3060
W 0.0000 0.0000 0.6940
Rh 0.5000 0.5000 0.5000
Ba 0.5000 0.5000 0.0000